(1)
The following is a GGA-PBEsol calculation of crystalline ZnCdPt3 at its relaxed geometry, from Alexandria via LeMat-Bulk.

POSCAR file:
```
ZnCdPt3
1.0
4.846 0.000 0.000
0.000 4.846 0.000
0.000 0.000 4.846
Zn Cd Pt
1 1 3
Direct
0.000 0.000 0.000
0.500 0.500 0.500
0.000 0.500 0.500
0.500 0.000 0.500
0.500 0.500 0.000
```

Values from the calculation:
Symmetry: Pm-3m, No. 221
Energy of formation from the pure elements, eV/f.u.: 7.278
Theoretical density, g/cm3: 11.14

=====

(2)
The following is a GGA-PBEsol calculation of crystalline ZnCd2Pt at its relaxed geometry, from Alexandria via LeMat-Bulk.

POSCAR file:
```
ZnCd2Pt
1.0
-1.979 1.979 4.242
1.979 -1.979 4.242
1.979 1.979 -4.242
Zn Cd Pt
1 2 1
Direct
0.000 0.000 0.000
0.250 0.750 0.500
0.750 0.250 0.500
0.500 0.500 0.000
```

Values from the calculation:
Symmetry: I4/mmm, No. 139
Energy of formation from the pure elements, eV/f.u.: -0.888
Theoretical density, g/cm3: 12.12

=====

(3)
The following is a GGA-PBEsol calculation of crystalline ZnCdPt2 at its relaxed geometry, from Alexandria via LeMat-Bulk.

POSCAR file:
```
ZnCdPt2
1.0
2.890 0.000 0.000
0.000 3.598 0.000
0.000 0.000 5.908
Zn Cd Pt
1 1 2
Direct
0.000 0.000 0.000
0.000 0.000 0.500
0.500 0.500 0.232
0.500 0.500 0.768
```

Values from the calculation:
Symmetry: Pmmm, No. 47
Energy of formation from the pure elements, eV/f.u.: -1.642
Theoretical density, g/cm3: 15.35

=====

(4)
The following is a GGA-PBEsol calculation of crystalline ZrCdPt2 at its relaxed geometry, from Alexandria via LeMat-Bulk.

POSCAR file:
```
ZrCdPt2
1.0
3.355 0.000 0.000
0.000 3.355 0.000
0.000 0.000 6.261
Zr Cd Pt
1 1 2
Direct
0.000 0.000 0.000
0.000 0.000 0.500
0.500 0.500 0.241
0.500 0.500 0.759
```

Values from the calculation:
Symmetry: P4/mmm, No. 123
Energy of formation from the pure elements, eV/f.u.: -2.902
Theoretical density, g/cm3: 13.99

=====

(5)
The following is a GGA-PBEsol calculation of crystalline Zr2CdPt at its relaxed geometry, from Alexandria via LeMat-Bulk.

POSCAR file:
```
Zr2CdPt
1.0
1.507 0.870 9.814
-1.507 0.870 9.814
0.000 -1.740 9.814
Zr Cd Pt
2 1 1
Direct
0.244 0.244 0.244
0.756 0.756 0.756
0.000 0.000 0.000
0.500 0.500 0.500
```

Values from the calculation:
Symmetry: R-3m, No. 166
Energy of formation from the pure elements, eV/f.u.: -1.116
Theoretical density, g/cm3: 10.53

=====

(6)
The following is a GGA-PBEsol calculation of crystalline ZrCdPt2 at its relaxed geometry, from Alexandria via LeMat-Bulk.

POSCAR file:
```
ZrCdPt2
1.0
1.449 0.837 9.496
-1.449 0.837 9.496
0.000 -1.673 9.496
Zr Cd Pt
1 1 2
Direct
0.000 0.000 0.000
0.760 0.760 0.760
0.253 0.253 0.253
0.506 0.506 0.506
```

Values from the calculation:
Symmetry: R3m, No. 160
Energy of formation from the pure elements, eV/f.u.: -0.896
Theoretical density, g/cm3: 14.28

=====

(7)
The following is a GGA-PBEsol calculation of crystalline Zr4CdPt at its relaxed geometry, from Alexandria via LeMat-Bulk.

POSCAR file:
```
Zr4CdPt
1.0
0.000 3.916 3.916
3.916 0.000 3.916
3.916 3.916 0.000
Zr Cd Pt
4 1 1
Direct
0.125 0.125 0.125
0.125 0.125 0.624
0.125 0.624 0.125
0.624 0.125 0.125
0.750 0.750 0.750
0.500 0.500 0.500
```

Values from the calculation:
Symmetry: F-43m, No. 216
Energy of formation from the pure elements, eV/f.u.: 0.778
Theoretical density, g/cm3: 9.30

=====

(8)
The following is a GGA-PBEsol calculation of crystalline ZrCdPt3 at its relaxed geometry, from Alexandria via LeMat-Bulk.

POSCAR file:
```
ZrCdPt3
1.0
4.874 0.000 0.000
0.000 4.874 0.000
0.000 0.000 4.874
Zr Cd Pt
1 1 3
Direct
0.000 0.000 0.000
0.500 0.500 0.500
0.000 0.000 0.500
0.000 0.500 0.000
0.500 0.000 0.000
```

Values from the calculation:
Symmetry: Pm-3m, No. 221
Energy of formation from the pure elements, eV/f.u.: 3.632
Theoretical density, g/cm3: 11.32

=====

Number 1: volume 22.758 A^3/atom, N(E_F) 1.3 states/eV/cell. Number 2: volume 16.622 A^3/atom, N(E_F) 0.9 states/eV/cell. Number 3: volume 15.357 A^3/atom, N(E_F) 0.9 states/eV/cell. Number 4: volume 17.616 A^3/atom, N(E_F) 2.2 states/eV/cell. Number 5: volume 19.308 A^3/atom, N(E_F) 3.5 states/eV/cell. Number 6: volume 17.268 A^3/atom, N(E_F) 3.1 states/eV/cell. Number 7: volume 20.016 A^3/atom, N(E_F) 5.2 states/eV/cell. Number 8: volume 23.150 A^3/atom, N(E_F) 2.4 states/eV/cell.